# 1
Here is crystalline DyPaPd at its relaxed geometry from OQMD. Energies are from PBE.

magnetic moment: 1.069 μB/cell
formation energy: 0.017 eV/atom

The structure in CIF format:
```
data_DyPaPd
_symmetry_space_group_name_H-M 'P 1'
_symmetry_Int_Tables_number 1
_symmetry_space_group_name_Hall 'P 1'
_cell_length_a 4.838
_cell_length_b 4.838
_cell_length_c 4.838
_cell_angle_alpha 60.00
_cell_angle_beta 60.00
_cell_angle_gamma 60.00
loop_
_atom_site_label
_atom_site_type_symbol
_atom_site_fract_x
_atom_site_fract_y
_atom_site_fract_z
Dy1 Dy 0.000 0.000 0.000
Pa1 Pa 0.500 0.500 0.500
Pd1 Pd 0.250 0.250 0.250
```



# 2
Here is crystalline RbDyPa at its relaxed geometry from OQMD. Energies are from PBE.

magnetic moment: 4.593 μB/cell
total energy: -0.11685 hartree per atom

The structure in CIF format:
```
data_RbDyPa
_symmetry_space_group_name_H-M 'P 1'
_symmetry_Int_Tables_number 1
_symmetry_space_group_name_Hall 'P 1'
_cell_length_a 5.825
_cell_length_b 5.825
_cell_length_c 5.825
_cell_angle_alpha 60.00
_cell_angle_beta 60.00
_cell_angle_gamma 60.00
loop_
_atom_site_label
_atom_site_type_symbol
_atom_site_fract_x
_atom_site_fract_y
_atom_site_fract_z
Rb1 Rb 0.000 0.000 0.000
Dy1 Dy 0.750 0.750 0.750
Pa1 Pa 0.500 0.500 0.500
```



What did the first record say?
Here is crystalline DyPaPd at its relaxed geometry from OQMD. Energies are from PBE.

magnetic moment: 1.069 μB/cell
formation energy: 0.017 eV/atom

The structure in CIF format:
```
data_DyPaPd
_symmetry_space_group_name_H-M 'P 1'
_symmetry_Int_Tables_number 1
_symmetry_space_group_name_Hall 'P 1'
_cell_length_a 4.838
_cell_length_b 4.838
_cell_length_c 4.838
_cell_angle_alpha 60.00
_cell_angle_beta 60.00
_cell_angle_gamma 60.00
loop_
_atom_site_label
_atom_site_type_symbol
_atom_site_fract_x
_atom_site_fract_y
_atom_site_fract_z
Dy1 Dy 0.000 0.000 0.000
Pa1 Pa 0.500 0.500 0.500
Pd1 Pd 0.250 0.250 0.250
```